[1]
VASP calculation (PBE) on an optimized crystal structure of SrTlNi.

abc: 4.8511 4.8511 4.8511
angles: 60.00 60.00 60.00
Closest atoms and distances in Å follow each position.
Sites, in units of the cell vectors:
Ni (0.7500, 0.7500, 0.7500)  4 Sr 2.97, 4 Tl 2.97
Sr (0.0000, 0.0000, 0.0000)  4 Ni 2.97
Tl (0.5000, 0.5000, 0.5000)  4 Ni 2.97

formation energy from the elements: 0.007 eV per atom
density: 7.21 g/cm³
M_tot: 0.00 μB/atom
final energy: -9.8 eV/f.u.

[2]
VASP calculation (PBE) on an optimized crystal structure of CaTa2CrPd.

abc: 4.8673 5.0972 4.8673
angles: 90.00 90.00 90.00
Closest atoms and distances in Å follow each position.
Sites, in units of the cell vectors:
Cr (0.5000, 0.5000, 0.5000)  4 Ca 3.44, 8 Ta 3.52
Ca (0.0000, 0.5000, 0.0000)  2 Pd 2.55
Pd (0.0000, 0.0000, 0.0000)  4 Ta 2.43, 2 Ca 2.55
Ta (0.0000, 0.0000, 0.5000)  2 Pd 2.43
Ta (0.5000, 0.0000, 0.0000)  2 Pd 2.43

formation energy from the elements: 1.626 eV per atom
density: 7.71 g/cm³
M_tot: 0.09 μB/atom
final energy: -32.4 eV/f.u.